## K4Nd3HfTe8 (PBE)

Data for a geometry-optimized K4Nd3HfTe8 structure.

Calculated values
Uncorrected energy, eV per atom: -4.62
Total magnetization, μB/f.u.: 0.0
Uncorrected formation energy, kJ/mol of formula units: -1948

abc: 9.0005 9.0005 24.8885
angles: 90.00 90.00 120.00
Space group R-3m (No. 166, hexagonal axes)
Asymmetric unit:
K: 0.0000 0.0000 0.0000 [3 per cell]
K: 0.0000 0.5000 0.0000 [9 per cell]
Nd: 0.0000 0.5000 0.5000 [9 per cell]
Hf: 0.0000 0.0000 0.5000 [3 per cell]
Te: 0.0000 0.0000 0.2401 [6 per cell]
Te: 0.0221 0.5110 0.2360 [18 per cell]